(1)
Li5Hg2Pd | PBE | relaxed

Calculated values
Energy relative to the elements (eV/atom): -0.332
E_tot (eV/atom): -2.25

abc: 4.6946 4.6946 6.8642
angles: 110.00 110.00 90.00
Element x y z (fractional)
Li  0.5000  0.5000  0.0000
Li  0.8802  0.3802  0.7604
Li  0.3802  0.8802  0.7604
Li  0.1198  0.6198  0.2396
Li  0.6198  0.1198  0.2396
Hg  0.7550  0.7550  0.5100
Hg  0.2450  0.2450  0.4900
Pd  0.0000  0.0000  0.0000

(2)
Li2HgPd3 | PBE | relaxed

Calculated values
Energy relative to the elements (eV/atom): -0.361
E_tot (eV/atom): -3.65
Distance to the lowest polymorph of the same formula (eV/f.u.): 0.00

abc: 4.3533 6.8814 6.4301
angles: 90.00 90.00 71.56
Element x y z (fractional)
Li  0.0000  0.0000  0.0000
Li  0.0000  0.0000  0.5000
Li  0.3308  0.3384  0.5000
Li  0.6692  0.6616  0.5000
Hg  0.3391  0.3219  0.0000
Hg  0.6609  0.6781  0.0000
Pd  0.8356  0.3287  0.7253
Pd  0.5000  0.0000  0.2794
Pd  0.1644  0.6713  0.2747
Pd  0.8356  0.3287  0.2747
Pd  0.1644  0.6713  0.7253
Pd  0.5000  0.0000  0.7206

(3)
LiHg2Pd5 | PBE | relaxed

Calculated values
Energy relative to the elements (eV/atom): -0.254
E_tot (eV/atom): -3.81
Distance to the lowest polymorph of the same formula (eV/f.u.): 0.00

abc: 5.6845 5.6845 5.6844
angles: 119.35 119.35 91.13
Element x y z (fractional)
Li  0.7782  0.7782  0.0000
Hg  0.2779  0.7778  0.5000
Hg  0.7779  0.2778  0.5000
Pd  0.2779  0.2778  0.5000
Pd  0.2778  0.7779  0.0000
Pd  0.7777  0.2779  0.0000
Pd  0.7778  0.7778  0.5000
Pd  0.2778  0.2779  0.0000

(4)
Li3HgPd4 | PBE | relaxed

Calculated values
Energy relative to the elements (eV/atom): -0.385
E_tot (eV/atom): -3.74
Distance to the lowest polymorph of the same formula (eV/f.u.): 0.00

abc: 4.3138 6.3997 8.6262
angles: 90.00 90.00 90.00
Element x y z (fractional)
Hg  0.0000  0.5000  0.0000
Hg  0.0000  0.5000  0.5000
Pd  0.5000  0.7737  0.0000
Pd  0.5000  0.7737  0.5000
Pd  0.5000  0.2263  0.0000
Pd  0.5000  0.2263  0.5000
Pd  0.0010  0.7736  0.7500
Pd  0.9990  0.7736  0.2500
Pd  0.9990  0.2264  0.2500
Pd  0.0010  0.2264  0.7500
Li  0.0000  0.0000  0.0000
Li  0.0000  0.0000  0.5000
Li  0.5010  0.0000  0.7500
Li  0.4990  0.0000  0.2500
Li  0.5007  0.5000  0.7500
Li  0.4993  0.5000  0.2500

(5)
Li4Hg2Pd3 | PBE | relaxed

Calculated values
Energy relative to the elements (eV/atom): -0.369
E_tot (eV/atom): -3.02
Distance to the lowest polymorph of the same formula (eV/f.u.): 0.27

abc: 4.5122 5.0764 7.2900
angles: 115.17 108.03 90.00
Element x y z (fractional)
Li  0.5505  0.3372  0.1011
Li  0.7789  0.6794  0.5578
Li  0.4495  0.6628  0.8989
Li  0.2211  0.3206  0.4422
Hg  0.3390  0.9830  0.6780
Hg  0.6610  0.0170  0.3220
Pd  0.8890  0.3581  0.7780
Pd  0.1110  0.6419  0.2220
Pd  0.0000  0.0000  0.0000

(6)
Li4HgPd2 | PBE | relaxed

Calculated values
Energy relative to the elements (eV/atom): -0.127
E_tot (eV/atom): -2.75
Distance to the lowest polymorph of the same formula (eV/f.u.): 1.77

abc: 4.8610 4.8610 5.7644
angles: 114.94 114.94 90.00
Element x y z (fractional)
Li  0.7500  0.2500  0.5000
Li  0.2500  0.7500  0.5000
Li  0.5000  0.0000  0.0000
Li  0.0000  0.5000  0.0000
Hg  0.0000  0.0000  0.0000
Pd  0.6498  0.6498  0.2996
Pd  0.3502  0.3502  0.7004

(7)
Li3Hg4Pd | PBE | relaxed

Calculated values
Energy relative to the elements (eV/atom): -0.338
E_tot (eV/atom): -1.86

abc: 4.6023 6.8743 9.2084
angles: 90.00 90.00 90.00
Element x y z (fractional)
Hg  0.5000  0.7550  0.0000
Hg  0.5000  0.7550  0.5000
Hg  0.5000  0.2450  0.0000
Hg  0.5000  0.2450  0.5000
Hg  0.0000  0.7550  0.7500
Hg  0.0000  0.7550  0.2500
Hg  0.0000  0.2450  0.2500
Hg  0.0000  0.2450  0.7500
Pd  0.0000  0.5000  0.0000
Pd  0.0000  0.5000  0.5000
Li  0.0000  0.0000  0.0000
Li  0.0000  0.0000  0.5000
Li  0.5001  0.0000  0.7500
Li  0.4999  0.0000  0.2500
Li  0.4998  0.5000  0.7500
Li  0.5002  0.5000  0.2500

(8)
Li3HgPd6 | PBE | relaxed

Calculated values
Energy relative to the elements (eV/atom): -0.221
E_tot (eV/atom): -3.94
Distance to the lowest polymorph of the same formula (eV/f.u.): 0.70

abc: 5.5108 7.4608 7.4608
angles: 101.10 90.00 90.00
Element x y z (fractional)
Li  0.4121  0.9997  0.7515
Li  0.9121  0.7515  0.9997
Li  0.3444  0.4966  0.5034
Li  0.8444  0.5034  0.4966
Li  0.9121  0.0003  0.2485
Li  0.4121  0.2485  0.0003
Hg  0.0714  0.2898  0.7102
Hg  0.5714  0.7102  0.2898
Pd  0.1157  0.7560  0.7036
Pd  0.6157  0.7036  0.7560
Pd  0.2960  0.5549  0.9683
Pd  0.7960  0.9683  0.5549
Pd  0.3448  0.9330  0.0670
Pd  0.5772  0.3088  0.6912
Pd  0.0772  0.6912  0.3088
Pd  0.8448  0.0670  0.9330
Pd  0.2960  0.0317  0.4451
Pd  0.7960  0.4451  0.0317
Pd  0.1157  0.2964  0.2440
Pd  0.6157  0.2440  0.2964